(1)
! PBE CaHfSc2Al, optimized geometry; values from VASP
&SYSTEM
  ibrav = 0, nat = 5, ntyp = 4
/
ATOMIC_SPECIES
Ca 40.08 Ca.upf
Hf 178.49 Hf.upf
Sc 44.96 Sc.upf
Al 26.98 Al.upf
CELL_PARAMETERS angstrom
5.1580 0.0000 0.0000
0.0000 5.1580 0.0000
0.0000 0.0000 5.4254
ATOMIC_POSITIONS angstrom
Ca 0.0000 0.0000 0.0000
Hf 2.5790 2.5790 2.7127
Sc 0.0000 2.5790 2.7127
Sc 2.5790 0.0000 2.7127
Al 2.5790 2.5790 0.0000
! crystal system: tetragonal

(2)
! PBE CaHf2AlTc, optimized geometry; values from VASP
&SYSTEM
  ibrav = 0, nat = 5, ntyp = 4
/
ATOMIC_SPECIES
Ca 40.08 Ca.upf
Hf 178.49 Hf.upf
Al 26.98 Al.upf
Tc 98.00 Tc.upf
CELL_PARAMETERS angstrom
5.0178 0.0000 0.0000
0.0000 5.0178 0.0000
0.0000 0.0000 4.4834
ATOMIC_POSITIONS angstrom
Ca 0.0000 0.0000 0.0000
Hf 0.0000 2.5089 0.0000
Hf 2.5089 0.0000 0.0000
Al 2.5089 2.5089 2.2417
Tc 0.0000 0.0000 2.2417
! crystal system: tetragonal

(3)
! PBE Ca2HfTiAl, optimized geometry; values from VASP
&SYSTEM
  ibrav = 0, nat = 5, ntyp = 4
/
ATOMIC_SPECIES
Ca 40.08 Ca.upf
Hf 178.49 Hf.upf
Ti 47.87 Ti.upf
Al 26.98 Al.upf
CELL_PARAMETERS angstrom
5.1258 0.0000 0.0000
0.0000 5.1258 0.0000
0.0000 0.0000 5.1079
ATOMIC_POSITIONS angstrom
Ca 0.0000 2.5629 0.0000
Ca 2.5629 0.0000 0.0000
Hf 0.0000 0.0000 2.5540
Ti 2.5629 2.5629 0.0000
Al 2.5629 2.5629 2.5540
! crystal system: tetragonal

(4)
! PBE CaYHf2Al, optimized geometry; values from VASP
&SYSTEM
  ibrav = 0, nat = 5, ntyp = 4
/
ATOMIC_SPECIES
Ca 40.08 Ca.upf
Y 88.91 Y.upf
Hf 178.49 Hf.upf
Al 26.98 Al.upf
CELL_PARAMETERS angstrom
5.2150 0.0000 0.0000
0.0000 5.2150 0.0000
0.0000 0.0000 5.4991
ATOMIC_POSITIONS angstrom
Ca 0.0000 0.0000 0.0000
Y 0.0000 0.0000 2.7495
Hf 0.0000 2.6075 2.7495
Hf 2.6075 0.0000 2.7495
Al 2.6075 2.6075 0.0000
! crystal system: tetragonal

(5)
! PBE Ca8Al2Hg, optimized geometry; values from VASP
&SYSTEM
  ibrav = 0, nat = 11, ntyp = 3
/
ATOMIC_SPECIES
Ca 40.08 Ca.upf
Al 26.98 Al.upf
Hg 200.59 Hg.upf
CELL_PARAMETERS angstrom
9.4501 -2.6713 0.0000
9.4501 2.6713 0.0000
-2.5599 0.0000 7.0666
ATOMIC_POSITIONS angstrom
Ca -0.2154 0.0000 1.9984
Ca 1.7664 0.0000 5.6564
Ca 4.9050 0.0000 3.8485
Ca 7.4556 0.0000 0.3475
Ca 8.8847 0.0000 6.7191
Ca 11.4354 0.0000 3.2181
Ca 14.5740 0.0000 1.4102
Ca 16.5558 0.0000 5.0683
Al 2.9023 0.0000 1.3975
Al 13.4381 0.0000 5.6691
Hg 8.1702 0.0000 3.5333
! crystal system: monoclinic
! ΔE to the lowest computed polymorph: 0 meV/atom

(6)
! PBE Ca6Al2Hg, optimized geometry; values from VASP
&SYSTEM
  ibrav = 0, nat = 18, ntyp = 3
/
ATOMIC_SPECIES
Ca 40.08 Ca.upf
Al 26.98 Al.upf
Hg 200.59 Hg.upf
CELL_PARAMETERS angstrom
-5.0929 5.2485 5.4127
5.0929 -5.2485 5.4127
5.0929 5.2485 -5.4127
ATOMIC_POSITIONS angstrom
Ca 5.0929 -3.0492 3.5609
Ca 3.0686 0.0000 2.7210
Ca 7.1173 0.0000 2.7210
Ca 3.2788 2.7980 0.0000
Ca 6.9071 2.7980 0.0000
Ca 0.0000 2.1993 1.8518
Ca 5.0929 3.0492 3.5609
Ca -1.8141 2.4505 5.4127
Ca 1.8141 2.4505 5.4127
Ca -2.0243 5.2485 2.6917
Ca 2.0243 5.2485 2.6917
Ca 0.0000 8.2978 1.8518
Al 1.3828 0.0000 0.0000
Al 8.8031 0.0000 0.0000
Al 0.0000 0.0000 4.1153
Al 0.0000 0.0000 6.7101
Hg 5.0929 0.0000 0.0000
Hg 0.0000 5.2485 0.0000
! crystal system: orthorhombic

(7)
! PBE Ca6AlHg3, optimized geometry; values from VASP
&SYSTEM
  ibrav = 0, nat = 20, ntyp = 3
/
ATOMIC_SPECIES
Ca 40.08 Ca.upf
Al 26.98 Al.upf
Hg 200.59 Hg.upf
CELL_PARAMETERS angstrom
9.4813 0.0000 0.0000
0.0000 5.4316 0.0000
-3.4792 0.0000 11.3557
ATOMIC_POSITIONS angstrom
Ca -1.2689 1.3579 4.5687
Ca 0.5989 4.0737 1.9981
Ca -0.9559 1.3579 11.2921
Ca 0.4517 4.0737 9.3812
Ca 2.2896 1.3579 3.5332
Ca 1.6737 1.3579 6.9511
Ca 4.3284 4.0737 4.4046
Ca 3.7126 4.0737 7.8225
Ca 5.5504 1.3579 1.9746
Ca 6.9580 4.0737 0.0636
Ca 5.4032 1.3579 9.3576
Ca 7.2710 4.0737 6.7870
Al 3.7135 4.0737 1.3558
Al 2.2886 1.3579 9.9999
Hg -2.6689 4.0737 10.1212
Hg -1.1631 1.3579 8.0708
Hg 1.0307 4.0737 5.2977
Hg 4.9715 1.3579 6.0580
Hg 7.1652 4.0737 3.2850
Hg 8.6711 1.3579 1.2345
! crystal system: monoclinic

(8)
! PBE Ca3Al2Hg4, optimized geometry; values from VASP
&SYSTEM
  ibrav = 0, nat = 9, ntyp = 3
/
ATOMIC_SPECIES
Ca 40.08 Ca.upf
Al 26.98 Al.upf
Hg 200.59 Hg.upf
CELL_PARAMETERS angstrom
5.5988 -2.4002 0.0000
5.5988 2.4002 0.0000
-3.9234 0.0000 8.2330
ATOMIC_POSITIONS angstrom
Ca 0.0000 0.0000 0.0000
Ca 2.6208 0.0000 2.6588
Ca 4.6535 0.0000 5.5742
Al 1.3780 0.0000 5.7565
Al 5.8963 0.0000 2.4766
Hg -0.6587 0.0000 3.3307
Hg -0.4343 0.0000 7.7391
Hg 7.7086 0.0000 0.4940
Hg 7.9329 0.0000 4.9024
! crystal system: monoclinic

(9)
! PBE Ca4AlHg, optimized geometry; values from VASP
&SYSTEM
  ibrav = 0, nat = 6, ntyp = 3
/
ATOMIC_SPECIES
Ca 40.08 Ca.upf
Al 26.98 Al.upf
Hg 200.59 Hg.upf
CELL_PARAMETERS angstrom
0.0000 4.6964 4.6964
4.6964 0.0000 4.6964
4.6964 4.6964 0.0000
ATOMIC_POSITIONS angstrom
Ca 3.5271 3.5271 3.5271
Ca 5.8657 5.8657 3.5271
Ca 5.8657 3.5271 5.8657
Ca 3.5271 5.8657 5.8657
Al 7.0446 7.0446 7.0446
Hg 0.0000 0.0000 0.0000
! crystal system: cubic
! ΔE to the lowest computed polymorph: 611 meV/atom

(10)
! PBE Ca2AlHg3, optimized geometry; values from VASP
&SYSTEM
  ibrav = 0, nat = 12, ntyp = 3
/
ATOMIC_SPECIES
Ca 40.08 Ca.upf
Al 26.98 Al.upf
Hg 200.59 Hg.upf
CELL_PARAMETERS angstrom
0.0000 4.8796 8.4451
3.6157 0.0000 8.4451
3.6157 4.8796 0.0000
ATOMIC_POSITIONS angstrom
Ca 5.4723 4.8796 8.4451
Ca 1.8078 2.4398 4.2226
Ca 5.4235 7.3194 12.6677
Ca 1.7590 4.8796 8.4451
Al 3.6157 4.8796 5.6268
Al 3.6157 4.8796 11.2634
Hg 3.6157 4.8796 2.9129
Hg 3.6157 2.5410 6.9881
Hg 3.6157 2.5410 9.9021
Hg 3.6157 7.2182 6.9881
Hg 3.6157 7.2182 9.9021
Hg 3.6157 4.8796 13.9773
! crystal system: orthorhombic

(11)
! PBE Ca3AlHg2, optimized geometry; values from VASP
&SYSTEM
  ibrav = 0, nat = 6, ntyp = 3
/
ATOMIC_SPECIES
Ca 40.08 Ca.upf
Al 26.98 Al.upf
Hg 200.59 Hg.upf
CELL_PARAMETERS angstrom
3.7814 0.0000 0.0000
0.0000 3.7814 0.0000
0.0000 0.0000 11.1878
ATOMIC_POSITIONS angstrom
Ca 0.0000 0.0000 0.0000
Ca 0.0000 0.0000 3.7663
Ca 0.0000 0.0000 7.4215
Al 1.8907 1.8907 5.5939
Hg 1.8907 1.8907 1.9456
Hg 1.8907 1.8907 9.2422
! crystal system: tetragonal

(12)
! PBE Ca7Al2Hg2, optimized geometry; values from VASP
&SYSTEM
  ibrav = 0, nat = 11, ntyp = 3
/
ATOMIC_SPECIES
Ca 40.08 Ca.upf
Al 26.98 Al.upf
Hg 200.59 Hg.upf
CELL_PARAMETERS angstrom
3.9613 -5.8432 0.0000
3.9613 5.8432 0.0000
0.0000 0.0000 7.9558
ATOMIC_POSITIONS angstrom
Ca 0.0000 0.0000 0.0000
Ca 1.9806 2.9216 2.2751
Ca 1.9806 2.9216 5.6807
Ca 1.9806 -2.9216 2.2751
Ca 1.9806 -2.9216 5.6807
Ca 3.9613 0.0000 2.1067
Ca 3.9613 0.0000 5.8491
Al 1.2965 0.0000 3.9779
Al 6.6260 0.0000 3.9779
Hg 3.9613 2.3700 0.0000
Hg 3.9613 -2.3700 0.0000
! crystal system: orthorhombic

(13)
! PBE CaAl3Hg, optimized geometry; values from VASP
&SYSTEM
  ibrav = 0, nat = 5, ntyp = 3
/
ATOMIC_SPECIES
Ca 40.08 Ca.upf
Al 26.98 Al.upf
Hg 200.59 Hg.upf
CELL_PARAMETERS angstrom
5.7770 0.0000 0.0000
0.0000 5.7770 0.0000
0.0000 0.0000 5.7770
ATOMIC_POSITIONS angstrom
Ca 0.0000 0.0000 0.0000
Al 0.0000 0.0000 2.8885
Al 0.0000 2.8885 0.0000
Al 2.8885 0.0000 0.0000
Hg 2.8885 2.8885 2.8885
! crystal system: cubic
! ΔE to the lowest computed polymorph: 1300 meV/atom

(14)
! PBE CaAl2Hg2, optimized geometry; values from VASP
&SYSTEM
  ibrav = 0, nat = 10, ntyp = 3
/
ATOMIC_SPECIES
Ca 40.08 Ca.upf
Al 26.98 Al.upf
Hg 200.59 Hg.upf
CELL_PARAMETERS angstrom
8.1550 0.0000 0.0000
0.0000 8.1550 0.0000
0.0000 0.0000 3.4708
ATOMIC_POSITIONS angstrom
Ca 0.0000 0.0000 0.0000
Ca 4.0775 4.0775 0.0000
Al 1.2689 2.8086 1.7354
Al 2.8086 6.8861 1.7354
Al 5.3465 1.2689 1.7354
Al 6.8861 5.3465 1.7354
Hg 1.1576 5.2352 0.0000
Hg 2.9199 1.1576 0.0000
Hg 5.2352 6.9974 0.0000
Hg 6.9974 2.9199 0.0000
! crystal system: tetragonal
! ΔE to the lowest computed polymorph: 210 meV/atom

(15)
! PBE Ca3AlHg, optimized geometry; values from VASP
&SYSTEM
  ibrav = 0, nat = 5, ntyp = 3
/
ATOMIC_SPECIES
Ca 40.08 Ca.upf
Al 26.98 Al.upf
Hg 200.59 Hg.upf
CELL_PARAMETERS angstrom
5.8653 0.0000 0.0000
0.0000 5.8653 0.0000
0.0000 0.0000 5.8653
ATOMIC_POSITIONS angstrom
Ca 0.0000 0.0000 2.9326
Ca 0.0000 2.9326 0.0000
Ca 2.9326 0.0000 0.0000
Al 0.0000 0.0000 0.0000
Hg 2.9326 2.9326 2.9326
! crystal system: cubic
! ΔE to the lowest computed polymorph: 376 meV/atom

(16)
! PBE Ca5AlHg6, optimized geometry; values from VASP
&SYSTEM
  ibrav = 0, nat = 12, ntyp = 3
/
ATOMIC_SPECIES
Ca 40.08 Ca.upf
Al 26.98 Al.upf
Hg 200.59 Hg.upf
CELL_PARAMETERS angstrom
4.5714 -7.8961 0.0000
4.5714 7.8961 0.0000
-2.9910 0.0000 4.3005
ATOMIC_POSITIONS angstrom
Ca 0.0000 0.0000 0.0000
Ca 3.0759 5.2492 2.1503
Ca 4.5714 2.6438 0.0000
Ca 4.5714 -2.6438 0.0000
Ca 3.0759 -5.2492 2.1503
Al 3.0759 0.0000 2.1503
Hg 1.5984 2.5245 1.1173
Hg 0.0953 0.0000 3.2495
Hg 1.5984 -2.5245 1.1173
Hg 4.5534 2.5245 3.1833
Hg 6.0565 0.0000 1.0510
Hg 4.5534 -2.5245 3.1833
! crystal system: monoclinic

(17)
! PBE CaAlHg3, optimized geometry; values from VASP
&SYSTEM
  ibrav = 0, nat = 5, ntyp = 3
/
ATOMIC_SPECIES
Ca 40.08 Ca.upf
Al 26.98 Al.upf
Hg 200.59 Hg.upf
CELL_PARAMETERS angstrom
5.8360 0.0000 0.0000
0.0000 5.8360 0.0000
0.0000 0.0000 5.8360
ATOMIC_POSITIONS angstrom
Ca 0.0000 0.0000 0.0000
Al 2.9180 2.9180 2.9180
Hg 0.0000 0.0000 2.9180
Hg 0.0000 2.9180 0.0000
Hg 2.9180 0.0000 0.0000
! crystal system: cubic
! ΔE to the lowest computed polymorph: 596 meV/atom

(18)
! PBE Ca2AlHg2, optimized geometry; values from VASP
&SYSTEM
  ibrav = 0, nat = 5, ntyp = 3
/
ATOMIC_SPECIES
Ca 40.08 Ca.upf
Al 26.98 Al.upf
Hg 200.59 Hg.upf
CELL_PARAMETERS angstrom
-3.0360 3.0360 4.0608
3.0360 -3.0360 4.0608
3.0360 3.0360 -4.0608
ATOMIC_POSITIONS angstrom
Ca 3.0360 0.0000 2.0304
Ca 0.0000 3.0360 2.0304
Al 0.0000 0.0000 0.0000
Hg 0.0000 0.0000 2.6798
Hg 0.0000 0.0000 5.4417
! crystal system: tetragonal
! ΔE to the lowest computed polymorph: 277 meV/atom

(19)
! PBE CaAl2Hg2, optimized geometry; values from VASP
&SYSTEM
  ibrav = 0, nat = 10, ntyp = 3
/
ATOMIC_SPECIES
Ca 40.08 Ca.upf
Al 26.98 Al.upf
Hg 200.59 Hg.upf
CELL_PARAMETERS angstrom
4.4904 0.0000 0.0000
0.0000 4.4904 0.0000
0.0000 0.0000 11.3613
ATOMIC_POSITIONS angstrom
Ca 1.1226 1.1226 2.8136
Ca 3.3678 3.3678 8.5477
Al 1.1226 1.1226 9.8200
Al 1.1226 3.3678 5.6806
Al 3.3678 1.1226 5.6806
Al 3.3678 3.3678 1.5413
Hg 1.1226 1.1226 7.2452
Hg 1.1226 3.3678 0.0000
Hg 3.3678 1.1226 0.0000
Hg 3.3678 3.3678 4.1161
! crystal system: tetragonal
! ΔE to the lowest computed polymorph: 34 meV/atom

(20)
! PBE Ca2AlHg2, optimized geometry; values from VASP
&SYSTEM
  ibrav = 0, nat = 10, ntyp = 3
/
ATOMIC_SPECIES
Ca 40.08 Ca.upf
Al 26.98 Al.upf
Hg 200.59 Hg.upf
CELL_PARAMETERS angstrom
7.6157 0.0000 0.0000
0.0000 7.6157 0.0000
0.0000 0.0000 4.5697
ATOMIC_POSITIONS angstrom
Ca 1.3022 2.5056 0.0000
Ca 2.5056 6.3135 0.0000
Ca 5.1100 1.3022 0.0000
Ca 6.3135 5.1100 0.0000
Al 0.0000 0.0000 2.2848
Al 3.8078 3.8078 2.2848
Hg 1.0517 4.8596 2.2848
Hg 2.7561 1.0517 2.2848
Hg 4.8596 6.5639 2.2848
Hg 6.5639 2.7561 2.2848
! crystal system: tetragonal
! ΔE to the lowest computed polymorph: 82 meV/atom

(21)
! PBE Ca2Al2Hg, optimized geometry; values from VASP
&SYSTEM
  ibrav = 0, nat = 5, ntyp = 3
/
ATOMIC_SPECIES
Ca 40.08 Ca.upf
Al 26.98 Al.upf
Hg 200.59 Hg.upf
CELL_PARAMETERS angstrom
-1.9116 1.9116 9.2018
1.9116 -1.9116 9.2018
1.9116 1.9116 -9.2018
ATOMIC_POSITIONS angstrom
Ca 0.0000 0.0000 1.8827
Ca 0.0000 0.0000 16.5209
Al 1.9116 0.0000 4.6009
Al 0.0000 1.9116 4.6009
Hg 0.0000 0.0000 9.2018
! crystal system: tetragonal
! ΔE to the lowest computed polymorph: 100 meV/atom

(22)
! PBE CaAl3Hg, optimized geometry; values from VASP
&SYSTEM
  ibrav = 0, nat = 5, ntyp = 3
/
ATOMIC_SPECIES
Ca 40.08 Ca.upf
Al 26.98 Al.upf
Hg 200.59 Hg.upf
CELL_PARAMETERS angstrom
5.1582 0.0000 0.0000
0.0000 5.1582 0.0000
0.0000 0.0000 5.1582
ATOMIC_POSITIONS angstrom
Ca 0.0000 0.0000 0.0000
Al 0.0000 2.5791 2.5791
Al 2.5791 0.0000 2.5791
Al 2.5791 2.5791 0.0000
Hg 2.5791 2.5791 2.5791
! crystal system: cubic
! ΔE to the lowest computed polymorph: 608 meV/atom

(23)
! PBE Ca2AlHg2, optimized geometry; values from VASP
&SYSTEM
  ibrav = 0, nat = 5, ntyp = 3
/
ATOMIC_SPECIES
Ca 40.08 Ca.upf
Al 26.98 Al.upf
Hg 200.59 Hg.upf
CELL_PARAMETERS angstrom
-2.0742 2.0742 8.6201
2.0742 -2.0742 8.6201
2.0742 2.0742 -8.6201
ATOMIC_POSITIONS angstrom
Ca 0.0000 0.0000 1.7353
Ca 0.0000 0.0000 15.5049
Al 0.0000 0.0000 8.6201
Hg 2.0742 0.0000 4.3100
Hg 0.0000 2.0742 4.3100
! crystal system: tetragonal
! ΔE to the lowest computed polymorph: 290 meV/atom

(24)
! PBE Ca4AlHg, optimized geometry; values from VASP
&SYSTEM
  ibrav = 0, nat = 6, ntyp = 3
/
ATOMIC_SPECIES
Ca 40.08 Ca.upf
Al 26.98 Al.upf
Hg 200.59 Hg.upf
CELL_PARAMETERS angstrom
4.6416 -2.6769 0.0000
4.6416 2.6769 0.0000
-3.0661 0.0000 8.5377
ATOMIC_POSITIONS angstrom
Ca 0.0117 0.0000 3.1307
Ca 3.0962 0.0000 0.9528
Ca 3.1209 0.0000 7.5850
Ca 6.2054 0.0000 5.4070
Al 0.0000 0.0000 0.0000
Hg 3.1086 0.0000 4.2689
! crystal system: monoclinic
! ΔE to the lowest computed polymorph: 123 meV/atom

Number 1: magnetization 0.000 μB/cell, calculated formation energy 49 kJ/mol of atoms. Number 2: magnetization 0.216 μB/cell, calculated formation energy 180 kJ/mol of atoms. Number 3: magnetization 0.921 μB/cell, calculated formation energy 105 kJ/mol of atoms. Number 4: magnetization 0.000 μB/cell, calculated formation energy 139 kJ/mol of atoms. Number 5: magnetization 0.000 μB/cell, calculated formation energy -21 kJ/mol of atoms. Number 6: magnetization 0.000 μB/cell, calculated formation energy -20 kJ/mol of atoms. Number 7: magnetization 0.000 μB/cell, calculated formation energy -35 kJ/mol of atoms. Number 8: magnetization 0.000 μB/cell, calculated formation energy -40 kJ/mol of atoms. Number 9: magnetization 0.003 μB/cell, calculated formation energy 33 kJ/mol of atoms. Number 10: magnetization 0.000 μB/cell, calculated formation energy -40 kJ/mol of atoms. Number 11: magnetization 0.000 μB/cell, calculated formation energy -42 kJ/mol of atoms. Number 12: magnetization 0.000 μB/cell, calculated formation energy -13 kJ/mol of atoms. Number 13: magnetization 0.000 μB/cell, calculated formation energy 106 kJ/mol of atoms. Number 14: magnetization 0.000 μB/cell, calculated formation energy -4 kJ/mol of atoms. Number 15: magnetization 0.000 μB/cell, calculated formation energy 7 kJ/mol of atoms. Number 16: magnetization 0.000 μB/cell, calculated formation energy -44 kJ/mol of atoms. Number 17: magnetization 0.000 μB/cell, calculated formation energy 49 kJ/mol of atoms. Number 18: magnetization 0.000 μB/cell, calculated formation energy -14 kJ/mol of atoms. Number 19: magnetization 0.000 μB/cell, calculated formation energy -21 kJ/mol of atoms. Number 20: magnetization 0.000 μB/cell, calculated formation energy -33 kJ/mol of atoms. Number 21: magnetization 0.000 μB/cell, calculated formation energy -15 kJ/mol of atoms. Number 22: magnetization 0.000 μB/cell, calculated formation energy 40 kJ/mol of atoms. Number 23: magnetization 0.000 μB/cell, calculated formation energy -13 kJ/mol of atoms. Number 24: magnetization 0.003 μB/cell, calculated formation energy -14 kJ/mol of atoms.